Entry 1:
This record from Alexandria describes an optimized crystal structure of ZrMn2Fe. The functional is PBE.

a b c (Å): 4.3280 4.3280 4.3280
angles (deg): 60.00 60.00 60.00
Last column: nearest neighbours and their distance in Å.
Fractional coordinates of all 4 atoms:
Zr  0.0000  0.0000  0.0000  8 Mn 2.65
Mn  0.2500  0.2500  0.2500  4 Fe 2.65, 4 Zr 2.65
Mn  0.7500  0.7500  0.7500  4 Fe 2.65, 4 Zr 2.65
Fe  0.5000  0.5000  0.5000  8 Mn 2.65

## Properties
Crystal system ... cubic
Excess energy over the best structure of this formula in the dataset ... 0.51 eV/f.u.
Total moment ... 6.04 μB/f.u.
Energy of formation from the pure elements ... 0.18 eV/atom
Symmetry ... Fm-3m (225)

***

Entry 2:
This record from Alexandria describes an optimized crystal structure of Sm3BI3. The functional is PBE.

a b c (Å): 10.4038 10.4038 10.4038
angles (deg): 109.47 109.47 109.47
Last column: nearest neighbours and their distance in Å.
Fractional coordinates of all 28 atoms:
Sm  0.0245  0.0491  0.2745  2 B 2.72
Sm  0.0245  0.4755  0.7500  2 B 2.72
Sm  0.0491  0.2745  0.0245  2 B 2.72
Sm  0.2255  0.2745  0.7500  2 B 2.72
Sm  0.2255  0.4509  0.4755  2 B 2.72
Sm  0.2745  0.0245  0.0491  2 B 2.72
Sm  0.2745  0.7500  0.2255  2 B 2.72
Sm  0.4509  0.4755  0.2255  2 B 2.72
Sm  0.4755  0.2255  0.4509  2 B 2.72
Sm  0.4755  0.7500  0.0245  2 B 2.72
Sm  0.7500  0.0245  0.4755  2 B 2.72
Sm  0.7500  0.2255  0.2745  2 B 2.72
B  0.0000  0.2500  0.5000  6 Sm 2.72
B  0.2500  0.2500  0.2500  6 Sm 2.72
B  0.2500  0.5000  0.0000  6 Sm 2.72
B  0.5000  0.0000  0.2500  6 Sm 2.72
I  0.2500  0.7598  0.7402  4 Sm 3.16-3.33
I  0.2500  0.9902  0.5098  4 Sm 3.16-3.33
I  0.5098  0.2500  0.9902  4 Sm 3.16-3.33
I  0.5098  0.7598  0.5195  4 Sm 3.16-3.33
I  0.5195  0.5098  0.7598  4 Sm 3.16-3.33
I  0.7402  0.2500  0.7598  4 Sm 3.16-3.33
I  0.7402  0.9902  0.9805  4 Sm 3.16-3.33
I  0.7598  0.5195  0.5098  4 Sm 3.16-3.33
I  0.7598  0.7402  0.2500  4 Sm 3.16-3.33
I  0.9805  0.7402  0.9902  4 Sm 3.16-3.33
I  0.9902  0.5098  0.2500  4 Sm 3.16-3.33
I  0.9902  0.9805  0.7402  4 Sm 3.16-3.33

## Properties
Crystal system ... cubic
Energy ... -129.029 eV for the cell shown
Total moment ... 0.00 μB/f.u.
Symmetry ... I4_132 (214)

***

Entry 3:
This record from Alexandria describes an optimized crystal structure of TaNb3Ru3. The functional is PBE.

a b c (Å): 6.2677 6.2677 6.1450
angles (deg): 90.00 90.00 93.32
Last column: nearest neighbours and their distance in Å.
Fractional coordinates of all 14 atoms:
Ta  0.2292  0.7708  0.0000  6 Ru 2.62-2.64, 2 Nb 2.92
Ta  0.7708  0.2292  0.0000  6 Ru 2.62-2.64, 2 Nb 2.92
Nb  0.2659  0.2659  0.5000  6 Ru 2.74-2.76, 2 Nb 2.93
Nb  0.2659  0.7341  0.5000  6 Ru 2.65-2.85, 2 Nb 2.93
Nb  0.3193  0.3193  0.0000  4 Ru 2.81, 2 Ta 2.92, 3 Nb 3.11
Nb  0.6807  0.6807  0.0000  4 Ru 2.81, 2 Ta 2.92, 3 Nb 3.11
Nb  0.7341  0.2659  0.5000  6 Ru 2.65-2.85, 2 Nb 2.93
Nb  0.7341  0.7341  0.5000  6 Ru 2.74-2.76, 2 Nb 2.93
Ru  0.0000  0.0000  0.2560  2 Ta 2.62, 4 Nb 2.74-2.85
Ru  0.0000  0.0000  0.7440  2 Ta 2.62, 4 Nb 2.74-2.85
Ru  0.0000  0.5000  0.2479  2 Ta 2.64, 6 Nb 2.65-2.81
Ru  0.0000  0.5000  0.7521  2 Ta 2.64, 6 Nb 2.65-2.81
Ru  0.5000  0.0000  0.2479  2 Ta 2.64, 6 Nb 2.65-2.81
Ru  0.5000  0.0000  0.7521  2 Ta 2.64, 6 Nb 2.65-2.81

## Properties
Crystal system ... orthorhombic
Total moment ... 0.00 μB/f.u.
Energy of formation from the pure elements ... -0.04 eV/atom
Symmetry ... Cmmm (65)

***

| no. | calculated density (g cm⁻³) |
| --- | --- |
| 1 | 7.44 |
| 2 | 6.46 |
| 3 | 10.51 |